First-principles (meta-GGA SCAN) data for K3AsS4 at its PBEsol-relaxed geometry, as listed in Alexandria via LeMat-Bulk.

Unit cell a=9.0069 b=10.4739 c=9.3577 alpha=90.00 beta=90.00 gamma=90.00
Last column: nearest neighbours and their distance in Å.
Sites, in units of the cell vectors:
K (0.0619, 0.0442, 0.1993)  6 S 3.13-3.41
K (0.0619, 0.4558, 0.1993)  6 S 3.13-3.41
K (0.1409, 0.7500, 0.4214)  5 S 3.09-3.33
K (0.3591, 0.2500, 0.9214)  5 S 3.09-3.33
K (0.4381, 0.5442, 0.6993)  6 S 3.13-3.41
K (0.4381, 0.9558, 0.6993)  6 S 3.13-3.41
K (0.5619, 0.0442, 0.3007)  6 S 3.13-3.41
K (0.5619, 0.4558, 0.3007)  6 S 3.13-3.41
K (0.6409, 0.7500, 0.0786)  5 S 3.09-3.33
K (0.8591, 0.2500, 0.5786)  5 S 3.09-3.33
K (0.9381, 0.5442, 0.8007)  6 S 3.13-3.41
K (0.9381, 0.9558, 0.8007)  6 S 3.13-3.41
As (0.2236, 0.7500, 0.9793)  4 S 2.18-2.19
As (0.2764, 0.2500, 0.4793)  4 S 2.18-2.19
As (0.7236, 0.7500, 0.5207)  4 S 2.18-2.19
As (0.7764, 0.2500, 0.0207)  4 S 2.18-2.19
S (0.0099, 0.7500, 0.0917)  1 As 2.19
S (0.1531, 0.0777, 0.5333)  1 As 2.18
S (0.1531, 0.4223, 0.5333)  1 As 2.18
S (0.1838, 0.7500, 0.7495)  1 As 2.18
S (0.3162, 0.2500, 0.2495)  1 As 2.18
S (0.3469, 0.5777, 0.0333)  1 As 2.18
S (0.3469, 0.9223, 0.0333)  1 As 2.18
S (0.4901, 0.2500, 0.5917)  1 As 2.19
S (0.5099, 0.7500, 0.4083)  1 As 2.19
S (0.6531, 0.0777, 0.9667)  1 As 2.18
S (0.6531, 0.4223, 0.9667)  1 As 2.18
S (0.6838, 0.7500, 0.7505)  1 As 2.18
S (0.8162, 0.2500, 0.2505)  1 As 2.18
S (0.8469, 0.5777, 0.4667)  1 As 2.18
S (0.8469, 0.9223, 0.4667)  1 As 2.18
S (0.9901, 0.2500, 0.9083)  1 As 2.19

Output
uncorrected energy = -11.5059 eV/atom
size of the total moment = 0.0 Bohr magnetons per cell
energy relative to the elements, uncorrected = -1.045 eV per atom


First-principles (meta-GGA SCAN) data for Lu3Si13Os4 at its PBEsol-relaxed geometry, as listed in Alexandria via LeMat-Bulk.

Unit cell a=8.6744 b=8.6744 c=8.6744 alpha=90.00 beta=90.00 gamma=90.00
Last column: nearest neighbours and their distance in Å.
Sites, in units of the cell vectors:
Lu (0.0000, 0.2500, 0.5000)  4 Os 3.07, 12 Si 3.10-3.15
Lu (0.0000, 0.7500, 0.5000)  4 Os 3.07, 12 Si 3.10-3.15
Lu (0.2500, 0.5000, 0.0000)  4 Os 3.07, 12 Si 3.10-3.15
Lu (0.5000, 0.0000, 0.2500)  4 Os 3.07, 12 Si 3.10-3.15
Lu (0.5000, 0.0000, 0.7500)  4 Os 3.07, 12 Si 3.10-3.15
Lu (0.7500, 0.5000, 0.0000)  4 Os 3.07, 12 Si 3.10-3.15
Si (0.0000, 0.0000, 0.0000)  12 Si 2.75
Si (0.0000, 0.2848, 0.1388)  2 Os 2.39, 1 Si 2.41
Si (0.0000, 0.2848, 0.8612)  2 Os 2.39, 1 Si 2.41
Si (0.0000, 0.7152, 0.1388)  2 Os 2.39, 1 Si 2.41
Si (0.0000, 0.7152, 0.8612)  2 Os 2.39, 1 Si 2.41
Si (0.1388, 0.0000, 0.2848)  2 Os 2.39, 1 Si 2.41
Si (0.1388, 0.0000, 0.7152)  2 Os 2.39, 1 Si 2.41
Si (0.2152, 0.5000, 0.3612)  2 Os 2.39, 1 Si 2.41
Si (0.2152, 0.5000, 0.6388)  2 Os 2.39, 1 Si 2.41
Si (0.2848, 0.1388, 0.0000)  2 Os 2.39, 1 Si 2.41
Si (0.2848, 0.8612, 0.0000)  2 Os 2.39, 1 Si 2.41
Si (0.3612, 0.2152, 0.5000)  2 Os 2.39, 1 Si 2.41
Si (0.3612, 0.7848, 0.5000)  2 Os 2.39, 1 Si 2.41
Si (0.5000, 0.3612, 0.2152)  2 Os 2.39, 1 Si 2.41
Si (0.5000, 0.3612, 0.7848)  2 Os 2.39, 1 Si 2.41
Si (0.5000, 0.5000, 0.5000)  12 Si 2.75
Si (0.5000, 0.6388, 0.2152)  2 Os 2.39, 1 Si 2.41
Si (0.5000, 0.6388, 0.7848)  2 Os 2.39, 1 Si 2.41
Si (0.6388, 0.2152, 0.5000)  2 Os 2.39, 1 Si 2.41
Si (0.6388, 0.7848, 0.5000)  2 Os 2.39, 1 Si 2.41
Si (0.7152, 0.1388, 0.0000)  2 Os 2.39, 1 Si 2.41
Si (0.7152, 0.8612, 0.0000)  2 Os 2.39, 1 Si 2.41
Si (0.7848, 0.5000, 0.3612)  2 Os 2.39, 1 Si 2.41
Si (0.7848, 0.5000, 0.6388)  2 Os 2.39, 1 Si 2.41
Si (0.8612, 0.0000, 0.2848)  2 Os 2.39, 1 Si 2.41
Si (0.8612, 0.0000, 0.7152)  2 Os 2.39, 1 Si 2.41
Os (0.2500, 0.2500, 0.2500)  6 Si 2.39
Os (0.2500, 0.2500, 0.7500)  6 Si 2.39
Os (0.2500, 0.7500, 0.2500)  6 Si 2.39
Os (0.2500, 0.7500, 0.7500)  6 Si 2.39
Os (0.7500, 0.2500, 0.2500)  6 Si 2.39
Os (0.7500, 0.2500, 0.7500)  6 Si 2.39
Os (0.7500, 0.7500, 0.2500)  6 Si 2.39
Os (0.7500, 0.7500, 0.7500)  6 Si 2.39

Output
uncorrected energy = -29.6643 eV/atom
size of the total moment = 0.0 Bohr magnetons per cell
energy relative to the elements, uncorrected = -0.476 eV per atom


First-principles (meta-GGA SCAN) data for Be2SbPt2 at its PBEsol-relaxed geometry, as listed in Alexandria via LeMat-Bulk.

Unit cell a=7.0630 b=7.0630 c=2.8126 alpha=90.00 beta=90.00 gamma=90.00
Last column: nearest neighbours and their distance in Å.
Sites, in units of the cell vectors:
Be (0.1239, 0.3761, 0.0000)  6 Pt 2.43-2.62, 1 Be 2.48
Be (0.3761, 0.8761, 0.0000)  6 Pt 2.43-2.62, 1 Be 2.48
Be (0.6239, 0.1239, 0.0000)  6 Pt 2.43-2.62, 1 Be 2.48
Be (0.8761, 0.6239, 0.0000)  6 Pt 2.43-2.62, 1 Be 2.48
Sb (0.0000, 0.0000, 0.0000)  4 Be 2.80, 2 Sb 2.81, 8 Pt 3.02
Sb (0.5000, 0.5000, 0.0000)  4 Be 2.80, 2 Sb 2.81, 8 Pt 3.02
Pt (0.1549, 0.6549, 0.5000)  6 Be 2.43-2.62
Pt (0.3451, 0.1549, 0.5000)  6 Be 2.43-2.62
Pt (0.6549, 0.8451, 0.5000)  6 Be 2.43-2.62
Pt (0.8451, 0.3451, 0.5000)  6 Be 2.43-2.62

Output
uncorrected energy = -37.6266 eV/atom
size of the total moment = 0.0 Bohr magnetons per cell
energy relative to the elements, uncorrected = -0.356 eV per atom


First-principles (meta-GGA SCAN) data for NbH2S at its PBEsol-relaxed geometry, as listed in Alexandria via LeMat-Bulk.

Unit cell a=3.7347 b=3.7347 c=3.7347 alpha=60.00 beta=60.00 gamma=60.00
Last column: nearest neighbours and their distance in Å.
Sites, in units of the cell vectors:
Nb (0.0000, 0.0000, 0.0000)  8 H 2.29
H (0.2500, 0.2500, 0.2500)  4 S 2.29, 4 Nb 2.29
H (0.7500, 0.7500, 0.7500)  4 S 2.29, 4 Nb 2.29
S (0.5000, 0.5000, 0.5000)  8 H 2.29

Output
uncorrected energy = -11.8723 eV/atom
size of the total moment = 0.3 Bohr magnetons per cell


First-principles (meta-GGA SCAN) data for KReMo at its PBEsol-relaxed geometry, as listed in Alexandria via LeMat-Bulk.

Unit cell a=7.4026 b=7.4026 c=7.4026 alpha=155.79 beta=155.79 gamma=34.50
Last column: nearest neighbours and their distance in Å.
Sites, in units of the cell vectors:
K (0.0000, 0.0000, 0.0000)  4 K 3.10
Re (0.3034, 0.3034, 0.0000)  4 Mo 2.51
Mo (0.7174, 0.7174, 0.0000)  4 Re 2.51

Output
uncorrected energy = -37.1650 eV/atom
size of the total moment = 0.0 Bohr magnetons per cell
ΔH_f (0 K) = 0.9388 eV per atom


First-principles (meta-GGA SCAN) data for TaCoPt2 at its PBEsol-relaxed geometry, as listed in Alexandria via LeMat-Bulk.

Unit cell a=4.7149 b=4.7149 c=4.7149 alpha=131.92 beta=131.92 gamma=70.35
Last column: nearest neighbours and their distance in Å.
Sites, in units of the cell vectors:
Ta (0.0000, 0.0000, 0.0000)  8 Pt 2.72, 4 Co 2.72
Co (0.7500, 0.2500, 0.5000)  8 Pt 2.72, 4 Ta 2.72
Pt (0.2500, 0.7500, 0.5000)  4 Co 2.72, 4 Ta 2.72, 4 Pt 2.72
Pt (0.5000, 0.5000, 0.0000)  4 Ta 2.72, 4 Co 2.72, 4 Pt 2.72

Output
uncorrected energy = -56.7020 eV/atom
ΔE to the lowest computed polymorph = 55 meV per atom
size of the total moment = 1.1 Bohr magnetons per cell
ΔH_f (0 K) = -0.6336 eV per atom


First-principles (meta-GGA SCAN) data for BaLi2Sc at its PBEsol-relaxed geometry, as listed in Alexandria via LeMat-Bulk.

Unit cell a=5.4979 b=5.4979 c=5.4979 alpha=119.88 beta=119.88 gamma=90.21
Last column: nearest neighbours and their distance in Å.
Sites, in units of the cell vectors:
Ba (0.0000, 0.0000, 0.0000)  8 Li 3.37
Li (0.2500, 0.7500, 0.5000)  4 Ba 3.37, 4 Sc 3.37
Li (0.7500, 0.2500, 0.5000)  4 Ba 3.37, 4 Sc 3.37
Sc (0.5000, 0.5000, 0.0000)  8 Li 3.37

Output
uncorrected energy = -14.3303 eV/atom
ΔE to the lowest computed polymorph = 0 meV per atom
size of the total moment = 0.0 Bohr magnetons per cell
ΔH_f (0 K) = 0.3114 eV per atom


First-principles (meta-GGA SCAN) data for Tb4C5 at its PBEsol-relaxed geometry, as listed in Alexandria via LeMat-Bulk.

Unit cell a=6.5338 b=11.9382 c=3.6397 alpha=90.00 beta=90.00 gamma=90.00
Last column: nearest neighbours and their distance in Å.
Sites, in units of the cell vectors:
Tb (0.1084, 0.1965, 0.0000)  7 C 2.45-2.70
Tb (0.2459, 0.9582, 0.5000)  5 C 2.40-2.67
Tb (0.2541, 0.4582, 0.5000)  5 C 2.40-2.67
Tb (0.3916, 0.6965, 0.0000)  7 C 2.45-2.70
Tb (0.6084, 0.3035, 0.0000)  7 C 2.45-2.70
Tb (0.7459, 0.5418, 0.5000)  5 C 2.40-2.67
Tb (0.7541, 0.0418, 0.5000)  5 C 2.40-2.67
Tb (0.8916, 0.8035, 0.0000)  7 C 2.45-2.70
C (0.0000, 0.0000, 0.0000)  6 Tb 2.45-2.48
C (0.0958, 0.6569, 0.5000)  1 C 1.33
C (0.1394, 0.7658, 0.5000)  1 C 1.33
C (0.3606, 0.2658, 0.5000)  1 C 1.33
C (0.4042, 0.1569, 0.5000)  1 C 1.33
C (0.5000, 0.5000, 0.0000)  6 Tb 2.45-2.48
C (0.5958, 0.8431, 0.5000)  1 C 1.33
C (0.6394, 0.7342, 0.5000)  1 C 1.33
C (0.8606, 0.2342, 0.5000)  1 C 1.33
C (0.9042, 0.3431, 0.5000)  1 C 1.33

Output
uncorrected energy = -26.8315 eV/atom
size of the total moment = 0.0 Bohr magnetons per cell
ΔH_f (0 K) = -0.4373 eV per atom


First-principles (meta-GGA SCAN) data for NiAg3Te at its PBEsol-relaxed geometry, as listed in Alexandria via LeMat-Bulk.

Unit cell a=4.6922 b=4.6922 c=4.6922 alpha=90.00 beta=90.00 gamma=90.00
Last column: nearest neighbours and their distance in Å.
Sites, in units of the cell vectors:
Ni (0.0000, 0.0000, 0.0000)  6 Ag 2.35
Ag (0.0000, 0.0000, 0.5000)  2 Ni 2.35
Ag (0.0000, 0.5000, 0.0000)  2 Ni 2.35
Ag (0.5000, 0.0000, 0.0000)  2 Ni 2.35
Te (0.5000, 0.5000, 0.5000)  12 Ag 3.32

Output
uncorrected energy = -28.8273 eV/atom
ΔE to the lowest computed polymorph = 0 meV per atom
size of the total moment = 0.5 Bohr magnetons per cell
energy relative to the elements, uncorrected = 0.678 eV per atom


First-principles (meta-GGA SCAN) data for MgTaTi2Ge at its PBEsol-relaxed geometry, as listed in Alexandria via LeMat-Bulk.

Unit cell a=4.6811 b=4.6811 c=5.2401 alpha=90.00 beta=90.00 gamma=90.00
Last column: nearest neighbours and their distance in Å.
Sites, in units of the cell vectors:
Mg (0.0000, 0.0000, 0.0000)  2 Ta 2.62
Ta (0.0000, 0.0000, 0.5000)  4 Ti 2.34, 2 Mg 2.62
Ti (0.0000, 0.5000, 0.5000)  2 Ta 2.34
Ti (0.5000, 0.0000, 0.5000)  2 Ta 2.34
Ge (0.5000, 0.5000, 0.0000)  4 Mg 3.31, 8 Ti 3.51

Output
uncorrected energy = -23.4408 eV/atom
size of the total moment = 0.0 Bohr magnetons per cell
ΔH_f (0 K) = 1.1001 eV per atom